12
Lattice="6.5872 -2.9382 0.0000 6.5872 2.9382 0.0000 -2.6415 0.0000 7.9004" Properties=species:S:1:pos:R:3 comment="TbNd2Pt3 GGA-PBE relaxed" formation_enthalpy_0k_mev_per_atom=-1069 mass_density_g_cm3=11.2 vol_a3_per_atom=25.5 sg="C2/c, No. 15" pbc="T T T"
Tb 4.6061 2.9176 5.9253
Tb 5.9268 -2.9176 1.9751
Nd 1.9562 0.0143 7.2369
Nd 3.2770 -0.0143 3.2867
Nd 7.2560 0.0143 4.6136
Nd 8.5767 -0.0143 0.6635
Pt 0.5860 0.0138 4.5855
Pt 1.9067 -0.0138 0.6354
Pt 5.9268 0.0199 1.9751
Pt 4.6061 -0.0199 5.9253
Pt 8.6262 0.0138 7.2650
Pt 9.9470 -0.0138 3.3148